{
  "formula": "Li2HfWO6",
  "functional": "PBE with a Hubbard U",
  "state": "relaxed",
  "lattice": [[5.663, 0.000, 0.000], [0.000, 5.663, 0.000], [0.000, 0.000, 4.054]],
  "species": ["Li", "Li", "Hf", "W", "O", "O", "O", "O", "O", "O"],
  "frac_coords": [[0.000, 0.500, 0.000], [0.500, 0.000, 0.000], [0.000, 0.000, 0.762], [0.500, 0.500, 0.742], [0.000, 0.000, 0.280], [0.261, 0.261, 0.812], [0.261, 0.739, 0.812], [0.500, 0.500, 0.295], [0.739, 0.261, 0.812], [0.739, 0.739, 0.812]],
  "total_magnetization_mub_per_fu": 0.0,
  "dft_energy_ev_per_atom": -7.519,
  "sg": "No. 99",
  "dos_at_fermi_per_ev_fu": 0.00
}